[1]
The following is a DFT calculation (GGA-PBE) of SiPAu2 after structural relaxation.

Unit cell a=4.630 b=4.630 c=4.630 alpha=60.00 beta=60.00 gamma=60.00
Sites, in units of the cell vectors:
Au  0.250  0.250  0.250
Au  0.000  0.000  0.000
P  0.500  0.500  0.500
Si  0.750  0.750  0.750

Values from the calculation:
Offset from the most stable computed form: 428 meV/atom
Theoretical density: 10.72 Mg/m³
Raw formation energy: 0.488 eV/atom

***

[2]
The following is a DFT calculation (GGA-PBE) of AlHBr2 after structural relaxation.

Unit cell a=7.868 b=7.868 c=7.868 alpha=25.50 beta=25.50 gamma=25.50
Sites, in units of the cell vectors:
Al  0.000  0.000  0.000
Br  0.894  0.894  0.894
Br  0.106  0.106  0.106
H  0.500  0.500  0.500

Values from the calculation:
Calculated total energy: -8.8 eV for the cell shown
Theoretical density: 3.92 Mg/m³